[1]
This record from the Alexandria database describes a PBEsol-optimized structure of Ti3HPb. The functional is meta-GGA SCAN.

Computed properties:
**Distance to the lowest polymorph of the same formula**: 0.0 meV/atom
**DOS(E_F)**: 0.94 states/eV per atom

Cell lengths 4.154, 4.154, 4.154 Å; angles 90.00, 90.00, 90.00 degrees
Fractional coordinates of all 5 atoms:
Ti 0.000 0.000 0.500
Ti 0.000 0.500 0.000
Ti 0.500 0.000 0.000
H 0.000 0.000 0.000
Pb 0.500 0.500 0.500


[2]
This record from the Alexandria database describes a PBEsol-optimized structure of Ti3HPb. The functional is meta-GGA SCAN.

Computed properties:
**Distance to the lowest polymorph of the same formula**: 7.7 meV/atom
**DOS(E_F)**: 1.12 states/eV per atom

Cell lengths 5.875, 5.875, 5.875 Å; angles 120.09, 89.91, 120.01 degrees
Fractional coordinates of all 10 atoms:
Ti 0.259 0.000 0.759
Ti 0.259 0.500 0.259
Ti 0.267 0.017 0.250
Ti 0.733 0.983 0.750
Ti 0.741 0.000 0.241
Ti 0.741 0.500 0.741
H 0.000 0.000 0.000
H 0.500 0.000 0.500
Pb 0.232 0.482 0.750
Pb 0.768 0.518 0.250


[3]
This record from the Alexandria database describes a PBEsol-optimized structure of Tl2H2Pb. The functional is meta-GGA SCAN.

Computed properties:
**Total DFT energy (no corrections)**: -45.11 eV per atom
**DOS(E_F)**: 0.34 states/eV per atom

Cell lengths 7.761, 7.761, 7.761 Å; angles 153.09, 153.09, 38.42 degrees
Fractional coordinates of all 5 atoms:
Tl 0.157 0.157 0.000
Tl 0.843 0.843 0.000
H 0.250 0.750 0.500
H 0.750 0.250 0.500
Pb 0.500 0.500 0.000


Question: Look up the DOS(E_F) of the second one.
Answer: 1.12 states/eV per atom


Question: Among the records above, which one has the lowest DOS(E_F)?
Answer: Tl2H2Pb


Copy entry 1 word for word.
This record from the Alexandria database describes a PBEsol-optimized structure of Ti3HPb. The functional is meta-GGA SCAN.

Computed properties:
**Distance to the lowest polymorph of the same formula**: 0.0 meV/atom
**DOS(E_F)**: 0.94 states/eV per atom

Cell lengths 4.154, 4.154, 4.154 Å; angles 90.00, 90.00, 90.00 degrees
Fractional coordinates of all 5 atoms:
Ti 0.000 0.000 0.500
Ti 0.000 0.500 0.000
Ti 0.500 0.000 0.000
H 0.000 0.000 0.000
Pb 0.500 0.500 0.500


Repeat the third record exactly.
This record from the Alexandria database describes a PBEsol-optimized structure of Tl2H2Pb. The functional is meta-GGA SCAN.

Computed properties:
**Total DFT energy (no corrections)**: -45.11 eV per atom
**DOS(E_F)**: 0.34 states/eV per atom

Cell lengths 7.761, 7.761, 7.761 Å; angles 153.09, 153.09, 38.42 degrees
Fractional coordinates of all 5 atoms:
Tl 0.157 0.157 0.000
Tl 0.843 0.843 0.000
H 0.250 0.750 0.500
H 0.750 0.250 0.500
Pb 0.500 0.500 0.000